[1]
Tb2SeO2 | GGA-PBE | relaxed

Cell lengths 3.9254, 6.3397, 8.2544 Å; angles 99.12, 90.00, 108.03 degrees
Element x y z (fractional)
Tb  0.8682  0.7363  0.5711
Tb  0.3748  0.7496  0.2040
Tb  0.1318  0.2637  0.4289
Tb  0.6252  0.2504  0.7960
O  0.6755  0.3511  0.5517
O  0.9481  0.8961  0.3132
O  0.0519  0.1039  0.6868
O  0.3245  0.6489  0.4483
Se  0.6624  0.3248  0.1527
Se  0.3376  0.6752  0.8473

SG: C2/m
Spin magnetization: 0.00 μB per cell
Raw formation energy: -3.06 eV/atom

=====

[2]
Ba2AsRh | GGA-PBE | relaxed

Cell lengths 4.7197, 5.9081, 9.8606 Å; angles 115.02, 90.00, 90.00 degrees
Element x y z (fractional)
Ba  0.2500  0.8049  0.0820
Ba  0.7500  0.2169  0.4355
Ba  0.2500  0.7831  0.5645
Ba  0.7500  0.1951  0.9180
Rh  0.7500  0.5912  0.7713
Rh  0.2500  0.4088  0.2287
As  0.7500  0.5808  0.2677
As  0.2500  0.4192  0.7323

SG: P2_1/m
Spin magnetization: 0.00 μB per cell
DFT total energy: -37.2 eV/cell

=====

[3]
Ca2ScPb | GGA-PBE | relaxed

Cell lengths 11.4160, 11.4160, 11.4160 Å; angles 18.26, 18.26, 18.26 degrees
Site moments in Bohr magnetons follow the coordinates.
Element x y z (fractional)
Sc  0.7500  0.7500  0.7500  0.48
Pb  0.2500  0.2500  0.2500  0.01
Ca  0.5031  0.5031  0.5031  0.04
Ca  0.9969  0.9969  0.9969  0.04

SG: R-3m
Spin magnetization: 1.18 μB per cell
DFT total energy: -14.2 eV/cell

=====

[4]
Tb4IrSe2Br | GGA-PBE | relaxed

Cell lengths 4.0225, 7.2687, 7.3116 Å; angles 71.97, 90.00, 90.00 degrees
Element x y z (fractional)
Tb  0.5000  0.7260  0.2841
Tb  0.5000  0.2740  0.7159
Tb  0.0000  0.7551  0.7225
Tb  0.0000  0.2449  0.2775
Br  0.5000  0.5000  0.0000
Se  0.0000  0.0000  0.0000
Se  0.5000  0.0000  0.5000
Ir  0.0000  0.5000  0.5000

SG: P2/m
Spin magnetization: 0.00 μB per cell
Raw formation energy: -1.36 eV/atom

=====

[5]
Zr2Sc | GGA-PBE | relaxed

Cell lengths 3.2493, 5.1393, 8.5909 Å; angles 90.00, 100.90, 90.00 degrees
Element x y z (fractional)
Sc  0.8886  0.7500  0.7773
Sc  0.1114  0.2500  0.2227
Zr  0.2213  0.7500  0.4426
Zr  0.7787  0.2500  0.5574
Zr  0.5559  0.7500  0.1118
Zr  0.4441  0.2500  0.8882

SG: Cmcm
Spin magnetization: 0.00 μB per cell
DFT total energy: -47.0 eV/cell

=====

[6]
Mg4ZnCu | GGA-PBE | relaxed

Cell lengths 5.3482, 5.3482, 5.3482 Å; angles 104.03, 104.03, 121.00 degrees
Element x y z (fractional)
Mg  0.9148  0.4148  0.8297
Mg  0.0852  0.9148  0.5000
Mg  0.5852  0.0852  0.1703
Mg  0.4148  0.5852  0.5000
Cu  0.5000  0.5000  0.0000
Zn  0.0000  0.0000  0.0000

SG: I422
Distance to the lowest polymorph of the same formula: 0.000 eV per atom
Spin magnetization: 0.00 μB per cell

=====

[7]
Dy4HgPSe2 | GGA-PBE | relaxed

Cell lengths 4.0355, 7.1644, 7.2218 Å; angles 71.41, 90.00, 90.00 degrees
Element x y z (fractional)
Se  0.5000  0.0000  0.5000
Se  0.0000  0.0000  0.0000
P  0.0000  0.5000  0.5000
Hg  0.5000  0.5000  0.0000
Dy  0.5000  0.2617  0.7333
Dy  0.0000  0.2487  0.2631
Dy  0.0000  0.7513  0.7369
Dy  0.5000  0.7383  0.2667

SG: P2/m
Spin magnetization: 0.00 μB per cell
Raw formation energy: -1.37 eV/atom

=====

[8]
Hf2NiH2 | GGA-PBE | relaxed

Cell lengths 3.1723, 3.1723, 6.2617 Å; angles 75.33, 75.33, 90.00 degrees
Element x y z (fractional)
Ni  0.0000  0.0000  0.0000
Hf  0.6357  0.6357  0.7286
Hf  0.3643  0.3643  0.2714
H  0.7500  0.2500  0.5000
H  0.2500  0.7500  0.5000

SG: I4/mmm
Spin magnetization: 0.00 μB per cell
DFT total energy: -34.7 eV/cell

=====

[9]
SiGeAu3 | GGA-PBE | relaxed

Cell lengths 5.9236, 5.5792, 12.3068 Å; angles 107.54, 90.00, 90.00 degrees
Element x y z (fractional)
Au  0.0227  0.2605  0.0279
Au  0.0990  0.5896  0.6144
Au  0.5227  0.7395  0.4721
Au  0.4010  0.5896  0.1144
Au  0.7572  0.9821  0.6946
Au  0.9773  0.7395  0.9721
Au  0.7428  0.9821  0.1946
Au  0.2428  0.0179  0.3054
Au  0.5990  0.4104  0.8856
Au  0.4773  0.2605  0.5279
Au  0.2572  0.0179  0.8054
Au  0.9010  0.4104  0.3856
Si  0.1165  0.8234  0.4588
Si  0.8835  0.1766  0.5412
Si  0.3835  0.8234  0.9588
Si  0.6165  0.1766  0.0412
Ge  0.5266  0.6171  0.7237
Ge  0.0266  0.3829  0.7763
Ge  0.9734  0.6171  0.2237
Ge  0.4734  0.3829  0.2763

SG: P2_1/c
Distance to the lowest polymorph of the same formula: 0.000 eV per atom
Spin magnetization: 0.00 μB per cell
Raw formation energy: 0.08 eV/atom

=====

[10]
Tc5Ag | GGA-PBE | relaxed

Cell lengths 7.4413, 7.4413, 4.4557 Å; angles 90.00, 90.00, 158.69 degrees
Element x y z (fractional)
Ag  0.9985  0.0015  0.0000
Tc  0.8844  0.1156  0.5000
Tc  0.5632  0.4368  0.5000
Tc  0.3269  0.6731  0.0000
Tc  0.2250  0.7750  0.5000
Tc  0.6688  0.3312  0.0000

SG: Amm2
Distance to the lowest polymorph of the same formula: 0.000 eV per atom
Spin magnetization: 0.00 μB per cell

=====

[11]
Ce5Ge2Br5 | GGA-PBE | relaxed

Cell lengths 4.1436, 7.0756, 13.2131 Å; angles 106.53, 90.00, 107.03 degrees
Site moments in Bohr magnetons follow the coordinates.
Element x y z (fractional)
Br  0.5000  0.0000  0.5000  -0.01
Br  0.2432  0.4864  0.6583  -0.01
Br  0.7568  0.5136  0.3417  -0.01
Br  0.6695  0.3389  0.0509  -0.01
Br  0.3305  0.6611  0.9491  -0.01
Ce  0.6658  0.3317  0.8059  0.93
Ce  0.0000  0.0000  0.0000  0.86
Ce  0.1278  0.2557  0.4172  1.16
Ce  0.3342  0.6683  0.1941  0.93
Ce  0.8722  0.7443  0.5828  1.16
Ge  0.9861  0.9722  0.2103  -0.05
Ge  0.0139  0.0278  0.7897  -0.05

SG: C2/m
Spin magnetization: 5.98 μB per cell
Raw formation energy: -1.02 eV/atom

=====

[12]
LiSi2Sb | GGA-PBE | relaxed

Cell lengths 3.3079, 3.3072, 6.7371 Å; angles 90.00, 90.00, 90.00 degrees
Element x y z (fractional)
Si  0.0000  0.0000  0.0811
Si  0.5000  0.5000  0.2209
Li  0.0000  0.0000  0.4686
Sb  0.5000  0.5000  0.7293

SG: P4mm
Spin magnetization: 0.00 μB per cell
Raw formation energy: 0.17 eV/atom

=====

- spin magnetization of number 9 (SiGeAu3)?
  0.00 μB per cell

=====

- Number 6 is which compound?
  Mg4ZnCu

=====

- spin magnetization of number 4 (Tb4IrSe2Br)?
  0.00 μB per cell